#i
LiZn4Au4 | PBE-GGA | optimized geometry

Output
As for the magnetization: 0.0 μB per formula unit. The value obtained for the density of states at the Fermi level is 1.40 states/eV/f.u.

Cell: 4.827 8.830 8.830 Å, 90.00 90.00 90.00°
Positions (direct):
Au 0.500 0.325 0.200
Au 0.000 0.825 0.700
Au 0.500 0.800 0.325
Li 0.000 0.000 0.000
Zn 0.500 0.901 0.612
Zn 0.000 0.888 0.401
Zn 0.000 0.401 0.112
Au 0.000 0.175 0.300
Au 0.000 0.300 0.825
Au 0.000 0.700 0.175
Zn 0.500 0.388 0.901
Zn 0.500 0.099 0.388
Au 0.500 0.200 0.675
Zn 0.000 0.112 0.599
Zn 0.500 0.612 0.099
Au 0.500 0.675 0.800
Li 0.500 0.500 0.500
Zn 0.000 0.599 0.888



#ii
LiZn4Au4 | PBE-GGA | optimized geometry

Output
As for the magnetization: 0.0 μB per formula unit. The value obtained for the density of states at the Fermi level is 2.01 states/eV/f.u.

Cell: 6.171 6.171 6.171 Å, 97.43 115.81 115.81°
Positions (direct):
Au 0.000 0.333 0.333
Zn 0.000 0.593 0.059
Li 0.000 0.000 0.000
Zn 0.465 0.407 0.407
Au 0.500 0.500 0.000
Zn 0.000 0.059 0.593
Au 0.000 0.667 0.667
Au 0.500 0.000 0.500
Zn 0.535 0.941 0.941



Winner for stability: #i



#i
LiZn6Au12 | PBE-GGA | optimized geometry

Output
As for the magnetization: 0.0 μB per formula unit. The value obtained for the density of states at the Fermi level is 7.32 states/eV/f.u.

Cell: 7.036 7.612 7.612 Å, 69.05 72.05 107.95°
Positions (direct):
Li 0.000 0.000 0.000
Zn 0.427 0.475 0.220
Au 0.799 0.272 0.865
Au 0.113 0.376 0.051
Au 0.664 0.865 0.862
Au 0.737 0.573 0.376
Zn 0.647 0.220 0.305
Zn 0.573 0.525 0.780
Zn 0.353 0.780 0.695
Au 0.836 0.949 0.427
Au 0.527 0.862 0.272
Au 0.164 0.051 0.573
Zn 0.048 0.695 0.525
Zn 0.952 0.305 0.475
Au 0.336 0.135 0.138
Au 0.263 0.427 0.624
Au 0.473 0.138 0.728
Au 0.201 0.728 0.135
Au 0.887 0.624 0.949



#ii
LiZn6Au12 | PBE-GGA | optimized geometry

Output
As for the magnetization: 0.0 μB per formula unit. The value obtained for the density of states at the Fermi level is 4.45 states/eV/f.u.

Cell: 7.256 7.256 7.256 Å, 102.95 102.95 102.95°
Positions (direct):
Au 0.690 0.032 0.152
Au 0.820 0.469 0.357
Au 0.310 0.968 0.848
Zn 0.741 0.823 0.562
Au 0.643 0.180 0.531
Zn 0.177 0.438 0.259
Li 0.000 0.000 0.000
Au 0.032 0.152 0.690
Zn 0.438 0.259 0.177
Zn 0.562 0.741 0.823
Au 0.180 0.531 0.643
Au 0.152 0.690 0.032
Au 0.531 0.643 0.180
Au 0.357 0.820 0.469
Au 0.469 0.357 0.820
Zn 0.823 0.562 0.741
Zn 0.259 0.177 0.438
Au 0.968 0.848 0.310
Au 0.848 0.310 0.968



Winner for stability: #i



#i
LiZn2Au5 | PBE-GGA | optimized geometry

Output
As for the magnetization: 0.0 μB per formula unit. The value obtained for the density of states at the Fermi level is 1.78 states/eV/f.u.

Cell: 3.022 7.067 7.067 Å, 73.70 77.65 77.65°
Positions (direct):
Zn 0.755 0.745 0.745
Au 0.000 0.500 0.500
Au 0.630 0.125 0.615
Au 0.370 0.875 0.385
Au 0.370 0.385 0.875
Li 0.000 0.000 0.000
Zn 0.245 0.255 0.255
Au 0.630 0.615 0.125



#ii
LiZn2Au5 | PBE-GGA | optimized geometry

Output
As for the magnetization: 0.0 μB per formula unit. The value obtained for the density of states at the Fermi level is 3.35 states/eV/f.u.

Cell: 4.160 5.598 11.319 Å, 90.00 90.00 90.00°
Positions (direct):
Zn 0.500 0.784 0.133
Au 0.000 0.535 0.241
Au 0.500 0.710 0.892
Li 0.000 0.000 0.500
Li 0.000 0.500 0.000
Au 0.000 0.465 0.759
Au 0.000 0.035 0.259
Au 0.500 0.210 0.608
Au 0.000 0.500 0.500
Au 0.500 0.790 0.392
Zn 0.500 0.716 0.633
Au 0.500 0.290 0.108
Zn 0.500 0.216 0.867
Au 0.000 0.000 0.000
Au 0.000 0.965 0.741
Zn 0.500 0.284 0.367



Winner for stability: #ii



#i
LiZn6Au2 | PBE-GGA | optimized geometry

Output
As for the magnetization: 0.0 μB per formula unit. The value obtained for the density of states at the Fermi level is 3.05 states/eV/f.u.

Cell: 4.349 7.219 7.219 Å, 44.06 72.60 72.60°
Positions (direct):
Au 0.885 0.614 0.614
Zn 0.500 0.742 0.258
Zn 0.697 0.046 0.561
Zn 0.303 0.439 0.954
Zn 0.500 0.258 0.742
Li 0.000 0.000 0.000
Zn 0.303 0.954 0.439
Au 0.115 0.386 0.386
Zn 0.697 0.561 0.046



#ii
LiZn6Au2 | PBE-GGA | optimized geometry

Output
As for the magnetization: 0.0 μB per formula unit. The value obtained for the density of states at the Fermi level is 2.49 states/eV/f.u.

Cell: 4.054 4.676 8.267 Å, 77.84 90.00 115.69°
Positions (direct):
Zn 0.338 0.676 0.054
Zn 0.344 0.688 0.388
Zn 0.009 0.018 0.164
Au 0.323 0.646 0.717
Zn 0.991 0.982 0.836
Zn 0.656 0.312 0.612
Au 0.677 0.354 0.283
Zn 0.662 0.324 0.946
Li 0.000 0.000 0.500



Winner for stability: #ii